DFT (GGA-PBE) results for an optimized crystal structure of ReHgPb2.

POSCAR file:
```
ReHgPb2
1.0
-0.069 -7.317 -2.195
1.841 -6.080 -4.244
3.755 -2.300 2.112
Hg Pb Re
1 2 1
Direct
0.250 0.250 0.250
0.078 0.078 0.922
0.422 0.422 0.578
0.750 0.750 0.750
```

Results
The calculation puts the formation energy at 611 meV/atom. As for the total energy: -4.430 eV/atom. Its volume is 105.8 Å³/cell. The density of states at the Fermi level comes out at 1.82 states/eV/f.u. Its space group is No. 71.